Record 1
Below is ZrTiVPd after structural relaxation, with properties calculated at the PBE level.

It has space group F-43m (No. 216), with a = 6.4796 Å, b = 6.4796 Å, c = 6.4796 Å, α = 90.00°, β = 90.00° and γ = 90.00°. The distinct sites, in fractional coordinates, are Zr at (0.0000, 0.0000, 0.0000), Ti at (0.0000, 0.0000, 0.5000), V at (0.2500, 0.2500, 0.2500) and Pd at (0.2500, 0.2500, 0.7500).

The calculated density is 7.24 Mg/m³. The calculation puts the volume at 272.1 Å³/cell. Its energy relative to the elements is -169 meV/atom.


Record 2
Below is Zr2TiVPd after structural relaxation, with properties calculated at the PBE level.

It has space group P4/mmm (No. 123), with a = 4.9122 Å, b = 4.9122 Å, c = 4.5271 Å, α = 90.00°, β = 90.00° and γ = 90.00°. The distinct sites, in fractional coordinates, are Zr at (0.0000, 0.5000, 0.0000), Ti at (0.0000, 0.0000, 0.0000), V at (0.5000, 0.5000, 0.5000) and Pd at (0.0000, 0.0000, 0.5000).

The calculated density is 5.89 Mg/m³. The calculation puts the volume at 109.2 Å³/cell. Its energy relative to the elements is 963 meV/atom.


Record 3
Below is Ti2Pd4W after structural relaxation, with properties calculated at the PBE level.

It has space group I4/mmm (No. 139), with a = 4.8568 Å, b = 4.8568 Å, c = 12.4665 Å, α = 90.00°, β = 90.00° and γ = 90.00°. The distinct sites, in fractional coordinates, are Ti at (0.0000, 0.0000, 0.0996), Pd at (0.0000, 0.0000, 0.2974), Pd at (0.0000, 0.5000, 0.0000) and W at (0.0000, 0.0000, 0.5000).

The calculated density is 7.96 Mg/m³. The calculation puts the volume at 294.1 Å³/cell. Its energy relative to the elements is 715 meV/atom.


Record 4
Below is Ti3PdW after structural relaxation, with properties calculated at the PBE level.

It has space group Pm-3m (No. 221), with a = 4.6460 Å, b = 4.6460 Å, c = 4.6460 Å, α = 90.00°, β = 90.00° and γ = 90.00°. The distinct sites, in fractional coordinates, are Ti at (0.0000, 0.0000, 0.5000), Pd at (0.0000, 0.0000, 0.0000) and W at (0.5000, 0.5000, 0.5000).

The calculated density is 7.18 Mg/m³. For the distance to the lowest polymorph of the same formula, the calculation gives 0.1652 eV/atom. The calculation puts the volume at 100.3 Å³/cell. Its energy relative to the elements is 1068 meV/atom.


Record 5
Below is TiPd3W after structural relaxation, with properties calculated at the PBE level.

It has space group Pm-3m (No. 221), with a = 4.5724 Å, b = 4.5724 Å, c = 4.5724 Å, α = 90.00°, β = 90.00° and γ = 90.00°. The distinct sites, in fractional coordinates, are Ti at (0.0000, 0.0000, 0.0000), Pd at (0.0000, 0.0000, 0.5000) and W at (0.5000, 0.5000, 0.5000).

The calculated density is 9.57 Mg/m³. For the distance to the lowest polymorph of the same formula, the calculation gives 0.0000 eV/atom. The calculation puts the volume at 95.6 Å³/cell. Its energy relative to the elements is 1116 meV/atom.


Record 6
Below is TiPd2W after structural relaxation, with properties calculated at the PBE level.

It has space group Fm-3m (No. 225), with a = 6.3396 Å, b = 6.3396 Å, c = 6.3396 Å, α = 90.00°, β = 90.00° and γ = 90.00°. The distinct sites, in fractional coordinates, are Ti at (0.0000, 0.0000, 0.0000), Pd at (0.2500, 0.2500, 0.2500) and W at (0.0000, 0.0000, 0.5000).

The calculated density is 11.59 Mg/m³. For the distance to the lowest polymorph of the same formula, the calculation gives 0.0000 eV/atom. The calculation puts the volume at 254.8 Å³/cell. Its energy relative to the elements is 86 meV/atom.


Q: What is the energy relative to the elements in the third record?
A: 715 meV/atom